No. 1
Here is crystalline Rb2Na2Ge at its relaxed geometry from Alexandria. Energies are from PBE-GGA.

N(E_F) in states/eV/f.u.: 1.329
Calculated volume in Å³/cell: 420
Magnetization in Bohr magnetons per cell: 0.00

The structure in CIF format:
```
data_Rb2Na2Ge
_cell_length_a 8.0805
_cell_length_b 8.0805
_cell_length_c 6.4380
_cell_angle_alpha 90.00
_cell_angle_beta 90.00
_cell_angle_gamma 90.00
_space_group_name_H-M_alt 'P 4/m b m'
_space_group_IT_number 127
_space_group_name_Hall '-P 4 2ab'
loop_
_atom_site_label
_atom_site_fract_x
_atom_site_fract_y
_atom_site_fract_z
Rb1 0.1917 0.3083 0.0000
Na1 0.1696 0.6696 0.5000
Ge1 0.0000 0.0000 0.5000
```


No. 2
Here is crystalline RbNa2Ge at its relaxed geometry from Alexandria. Energies are from PBE-GGA.

N(E_F) in states/eV/f.u.: 2.299
Calculated volume in Å³/cell: 642
Magnetization in Bohr magnetons per cell: 3.66

The structure in CIF format:
```
data_RbNa2Ge
_cell_length_a 5.5515
_cell_length_b 5.5515
_cell_length_c 20.8367
_cell_angle_alpha 90.00
_cell_angle_beta 90.00
_cell_angle_gamma 90.00
_space_group_name_H-M_alt 'I -4 2 d'
_space_group_IT_number 122
_space_group_name_Hall 'I -4 2bw'
loop_
_atom_site_label
_atom_site_fract_x
_atom_site_fract_y
_atom_site_fract_z
Rb1 0.0000 0.0000 0.0000
Na1 0.1196 0.2500 0.6250
Ge1 0.0000 0.0000 0.5000
```


No. 3
Here is crystalline RbNa2Ge at its relaxed geometry from Alexandria. Energies are from PBE-GGA.

N(E_F) in states/eV/f.u.: 3.795
Calculated volume in Å³/cell: 439
Magnetization in Bohr magnetons per cell: 1.67

The structure in CIF format:
```
data_RbNa2Ge
_cell_length_a 5.1892
_cell_length_b 5.1892
_cell_length_c 18.8442
_cell_angle_alpha 90.00
_cell_angle_beta 90.00
_cell_angle_gamma 120.00
_space_group_name_H-M_alt 'R -3 m'
_space_group_IT_number 166
_space_group_name_Hall '-R 3 2"'
loop_
_atom_site_label
_atom_site_fract_x
_atom_site_fract_y
_atom_site_fract_z
Rb1 0.0000 0.0000 0.0000
Na1 0.0000 0.0000 0.2045
Ge1 0.0000 0.0000 0.5000
```


No. 4
Here is crystalline RbNa2GeRh at its relaxed geometry from Alexandria. Energies are from PBE-GGA.

N(E_F) in states/eV/f.u.: 1.772
Calculated volume in Å³/cell: 149
Magnetization in Bohr magnetons per cell: 0.00

The structure in CIF format:
```
data_RbNa2GeRh
_cell_length_a 5.6261
_cell_length_b 5.6261
_cell_length_c 4.7071
_cell_angle_alpha 90.00
_cell_angle_beta 90.00
_cell_angle_gamma 90.00
_space_group_name_H-M_alt 'P 4/m m m'
_space_group_IT_number 123
_space_group_name_Hall '-P 4 2'
loop_
_atom_site_label
_atom_site_fract_x
_atom_site_fract_y
_atom_site_fract_z
Rb1 0.0000 0.0000 0.0000
Na1 0.0000 0.5000 0.5000
Ge1 0.5000 0.5000 0.0000
Rh1 0.5000 0.5000 0.5000
```


Table of calculated total energy (eV/atom), in record order: -1.729; -1.842; -1.992; -3.157